1.
Compound: H7IrPd4
Source: Alexandria via LeMat-Bulk
Functional: PBE
Structure: optimized geometry

```
data_H7IrPd4
_cell_length_a 10.5026
_cell_length_b 3.2730
_cell_length_c 7.5484
_cell_angle_alpha 90.00
_cell_angle_beta 113.67
_cell_angle_gamma 90.00
_symmetry_space_group_name_H-M 'C 1 2/m 1'
_symmetry_Int_Tables_number 12
loop_
_symmetry_equiv_pos_as_xyz
'x,y,z'
'-x,-y,-z'
'-x,y,-z'
'x,-y,z'
'x+1/2,y+1/2,z'
'-x+1/2,-y+1/2,-z'
'-x+1/2,y+1/2,-z'
'x+1/2,-y+1/2,z'
loop_
_atom_site_label
_atom_site_fract_x
_atom_site_fract_y
_atom_site_fract_z
H1 0.0000 0.0000 0.0000
H2 0.0594 0.5000 0.8075
H3 0.1802 0.5000 0.0862
H4 0.1868 0.0000 0.3814
Ir1 0.0000 0.5000 0.0000
Pd1 0.0003 0.0000 0.3156
Pd2 0.2502 0.0000 0.6584
```

ρ: 8.73 g cm⁻³
Fermi-level density of states: 0.2704 states/eV per atom
E: -103.09 eV/cell

---

2.
Compound: PrZnPd
Source: Alexandria via LeMat-Bulk
Functional: PBE
Structure: optimized geometry

```
data_PrZnPd
_cell_length_a 7.4934
_cell_length_b 7.4934
_cell_length_c 4.0041
_cell_angle_alpha 90.00
_cell_angle_beta 90.00
_cell_angle_gamma 120.00
_symmetry_space_group_name_H-M 'P -6 2 m'
_symmetry_Int_Tables_number 189
_symmetry_space_group_name_Hall 'P -6 -2'
loop_
_atom_site_label
_atom_site_fract_x
_atom_site_fract_y
_atom_site_fract_z
Pr1 0.0000 0.5908 0.0000
Zn1 0.0000 0.2425 0.5000
Pd1 0.0000 0.0000 0.0000
Pd2 0.3333 0.6667 0.5000
```

ρ: 8.00 g cm⁻³
Fermi-level density of states: 0.5818 states/eV per atom
DFT formation energy: -670.8 meV/atom
E: -39.78 eV/cell

---

3.
Compound: Ba2AlH
Source: Alexandria via LeMat-Bulk
Functional: PBE
Structure: optimized geometry

```
data_Ba2AlH
_cell_length_a 7.9718
_cell_length_b 7.9718
_cell_length_c 8.4935
_cell_angle_alpha 90.00
_cell_angle_beta 90.00
_cell_angle_gamma 90.00
_symmetry_space_group_name_H-M 'I -4 2 d'
_symmetry_Int_Tables_number 122
_symmetry_space_group_name_Hall 'I -4 2bw'
loop_
_atom_site_label
_atom_site_fract_x
_atom_site_fract_y
_atom_site_fract_z
Ba1 0.1631 0.2500 0.1250
Al1 0.0000 0.0000 0.5000
H1 0.0000 0.0000 0.0000
```

ρ: 3.72 g cm⁻³
Fermi-level density of states: 0.1522 states/eV per atom
Relative energy among the computed polymorphs: 0 meV per atom
E: -44.67 eV/cell

---

4.
Compound: InPCl2O
Source: Alexandria via LeMat-Bulk
Functional: PBE
Structure: optimized geometry

```
data_InPCl2O
_cell_length_a 5.1047
_cell_length_b 5.1047
_cell_length_c 5.3709
_cell_angle_alpha 90.00
_cell_angle_beta 90.00
_cell_angle_gamma 90.00
_symmetry_space_group_name_H-M 'P 4/m m m'
_symmetry_Int_Tables_number 123
_symmetry_space_group_name_Hall '-P 4 2'
loop_
_atom_site_label
_atom_site_fract_x
_atom_site_fract_y
_atom_site_fract_z
In1 0.0000 0.0000 0.0000
P1 0.0000 0.0000 0.5000
Cl1 0.0000 0.5000 0.0000
O1 0.5000 0.5000 0.5000
```

ρ: 2.76 g cm⁻³
Uncorrected formation energy: 255 kJ/mol of formula units
Fermi-level density of states: 0.7442 states/eV per atom
Relative energy among the computed polymorphs: 704 meV per atom
E: -14.16 eV/cell

---

5.
Compound: H2Pd2Pt
Source: Alexandria via LeMat-Bulk
Functional: PBE
Structure: optimized geometry

```
data_H2Pd2Pt
_cell_length_a 9.2465
_cell_length_b 4.0390
_cell_length_c 5.8635
_cell_angle_alpha 90.00
_cell_angle_beta 107.86
_cell_angle_gamma 90.00
_symmetry_space_group_name_H-M 'C 1 2/m 1'
_symmetry_Int_Tables_number 12
loop_
_symmetry_equiv_pos_as_xyz
'x,y,z'
'-x,-y,-z'
'-x,y,-z'
'x,-y,z'
'x+1/2,y+1/2,z'
'-x+1/2,-y+1/2,-z'
'-x+1/2,y+1/2,-z'
'x+1/2,-y+1/2,z'
loop_
_atom_site_label
_atom_site_fract_x
_atom_site_fract_y
_atom_site_fract_z
H1 0.0472 0.0000 0.2667
H2 0.1752 0.5000 0.6527
Pd1 0.0013 0.5000 0.7546
Pd2 0.1678 0.0000 0.5883
Pt1 0.1670 0.0000 0.0801
```

ρ: 13.06 g cm⁻³
Fermi-level density of states: 0.5136 states/eV per atom
Relative energy among the computed polymorphs: 0 meV per atom
E: -93.19 eV/cell

---

6.
Compound: CePm2Al
Source: Alexandria via LeMat-Bulk
Functional: PBE
Structure: optimized geometry

```
data_CePm2Al
_cell_length_a 4.8832
_cell_length_b 4.8832
_cell_length_c 4.6517
_cell_angle_alpha 90.00
_cell_angle_beta 90.00
_cell_angle_gamma 90.00
_symmetry_space_group_name_H-M 'P 4/m m m'
_symmetry_Int_Tables_number 123
_symmetry_space_group_name_Hall '-P 4 2'
loop_
_atom_site_label
_atom_site_fract_x
_atom_site_fract_y
_atom_site_fract_z
Ce1 0.0000 0.0000 0.0000
Pm1 0.0000 0.5000 0.5000
Al1 0.5000 0.5000 0.0000
```

ρ: 6.84 g cm⁻³
Fermi-level density of states: 1.7716 states/eV per atom
DFT formation energy: -141.5 meV/atom
Relative energy among the computed polymorphs: 0 meV per atom
E: -19.74 eV/cell